[1]
10
Lattice="-1.950 1.950 10.509 1.950 -1.950 10.509 1.950 1.950 -10.509" Properties=species:S:1:pos:R:3 comment="ErZn2Ni2 PBE relaxed" final_energy_ev_per_atom=-4.07 formation_energy_mev_per_atom=-336 relative_energy_mev_per_atom=0 pbc="T T T"
Er 0.000 0.000 2.674
Er 0.000 0.000 18.345
Zn 1.950 0.000 0.000
Zn 0.000 0.000 6.669
Zn 0.000 1.950 0.000
Zn 0.000 0.000 14.350
Ni 1.950 0.000 5.255
Ni 0.000 0.000 9.047
Ni 0.000 0.000 11.972
Ni 0.000 1.950 5.255

[2]
4
Lattice="1.979 1.143 6.416 -1.979 1.143 6.416 0.000 -2.286 6.416" Properties=species:S:1:pos:R:3 comment="PrPu2C PBE relaxed" final_energy_ev_per_atom=-10.33 formation_energy_mev_per_atom=333 pbc="T T T"
Pr 0.000 0.000 0.000
Pu 0.000 0.000 3.646
Pu 0.000 0.000 15.603
C 0.000 0.000 9.625

[3]
4
Lattice="3.257 0.000 0.000 0.000 3.257 0.000 0.000 0.000 9.401" Properties=species:S:1:pos:R:3 comment="CdTe2Mo PBE relaxed" final_energy_ev_per_atom=-4.32 formation_energy_uncorrected_ev_per_atom=0.19 pbc="T T T"
Cd 0.000 0.000 0.000
Te 0.000 0.000 3.450
Te 1.629 1.629 6.784
Mo 1.629 1.629 1.931

[4]
4
Lattice="3.148 0.000 0.000 0.000 3.148 0.000 0.000 0.000 5.770" Properties=species:S:1:pos:R:3 comment="Cr2CuPt PBE relaxed" final_energy_ev_per_atom=-7.15 formation_energy_mev_per_atom=196 pbc="T T T"
Cr 0.000 0.000 1.408
Cr 0.000 0.000 4.362
Cu 1.574 1.574 0.000
Pt 1.574 1.574 2.885

[5]
4
Lattice="-1.995 1.995 3.979 1.995 -1.995 3.979 1.995 1.995 -3.979" Properties=species:S:1:pos:R:3 comment="ZrOs2Ru PBE relaxed" final_energy_ev_per_atom=-10.06 formation_energy_mev_per_atom=11 relative_energy_mev_per_atom=67 pbc="T T T"
Zr 0.000 0.000 0.000
Os 1.995 0.000 1.989
Os 0.000 0.000 3.979
Ru 0.000 1.995 1.989